Material: BaLiBr3
Method: DFT, PBE-GGA
State: relaxed

Cell lengths 14.655, 12.421, 8.102 Å; angles 90.00, 106.18, 90.00 degrees
Space group C2/c (No. 15)
Inequivalent atoms, fractional coordinates:
Ba 0.000 0.097 0.250 x4
Ba 0.000 0.344 0.750 x4
Li 0.204 0.412 0.251 x8
Br 0.115 0.111 0.653 x8
Br 0.131 0.453 0.502 x8
Br 0.138 0.240 0.104 x8

energy above the lowest structure with this stoichiometry: 0 meV/atom
E_form (uncorrected): -9.53 eV per formula unit